VASP calculation (PBE-GGA) on a relaxed Zr crystal.

Summary:
- excess energy over the best structure of this formula in the dataset (meV/atom) = 0
- formation energy (meV per atom) = 0
- size of the total moment (μB per atom) = 0.02

Cell and atoms, written as POSCAR:
```
Zr
1.0
-3.9919 -3.9754 9.6403
2.7993 0.6885 1.4430
-1.7819 4.7157 1.2068
Zr
8
direct
0.0000 0.0000 0.0000 Zr
0.5000 0.0000 0.0000 Zr
0.2500 0.5000 0.0000 Zr
0.7500 0.5000 0.0000 Zr
0.1664 0.0000 0.5000 Zr
0.6667 0.0000 0.5000 Zr
0.4168 0.5000 0.5000 Zr
0.9169 0.5000 0.5000 Zr
```

---

VASP calculation (PBE-GGA) on a relaxed Er4InTc crystal.

Summary:
- size of the total moment (μB per atom) = 0.00
- total DFT energy (no corrections) (eV per atom) = -5.487

Cell and atoms, written as POSCAR:
```
Er4InTc
1.0
4.3310 -6.4335 0.0000
4.3310 6.4335 0.0000
-1.8707 0.0000 5.8554
Er In Tc
8 2 2
direct
0.2758 0.9389 0.0490 Er
0.1998 0.3557 0.1134 Er
0.6443 0.8002 0.3866 Er
0.0611 0.7242 0.4510 Er
0.9389 0.2758 0.5490 Er
0.3557 0.1998 0.6134 Er
0.8002 0.6443 0.8866 Er
0.7242 0.0611 0.9510 Er
0.6251 0.3749 0.2500 In
0.3749 0.6251 0.7500 In
0.0005 0.9995 0.2500 Tc
0.9995 0.0005 0.7500 Tc
```

---

VASP calculation (PBE-GGA) on a relaxed KLiBiAu crystal.

Summary:
- excess energy over the best structure of this formula in the dataset (meV/atom) = 196

Cell and atoms, written as POSCAR:
```
KLiBiAu
1.0
0.0000 3.7193 3.7193
3.7193 0.0000 3.7193
3.7193 3.7193 0.0000
Au Bi K Li
1 1 1 1
direct
0.7500 0.7500 0.7500 Au
0.2500 0.2500 0.2500 Bi
0.0000 0.0000 0.0000 K
0.5000 0.5000 0.5000 Li
```

---

VASP calculation (PBE-GGA) on a relaxed PmZnFe crystal.

Summary:
- excess energy over the best structure of this formula in the dataset (meV/atom) = 398
- formation energy (meV per atom) = 798
- size of the total moment (μB per atom) = 0.72

Cell and atoms, written as POSCAR:
```
PmZnFe
1.0
-3.3288 -2.6835 2.0079
-3.2966 1.9829 2.7413
-4.4713 0.2667 -1.5000
Fe Pm Zn
1 1 1
direct
0.2500 0.2500 0.2500 Fe
0.0000 0.0000 0.0000 Pm
0.7500 0.7500 0.7500 Zn
```

---

VASP calculation (PBE-GGA) on a relaxed CuPdAu2 crystal.

Summary:
- formation energy (meV per atom) = -49

Cell and atoms, written as POSCAR:
```
CuPdAu2
1.0
1.9047 -4.0594 -0.3215
2.4589 -1.6052 3.4040
-1.5517 -3.4138 2.4797
Au Cu Pd
2 1 1
direct
0.0000 0.0000 0.0000 Au
0.7500 0.7500 0.7500 Au
0.2500 0.2500 0.2500 Cu
0.5000 0.5000 0.5000 Pd
```

---

VASP calculation (PBE-GGA) on a relaxed OsI crystal.

Summary:
- excess energy over the best structure of this formula in the dataset (meV/atom) = 217
- size of the total moment (μB per atom) = 0.00

Cell and atoms, written as POSCAR:
```
OsI
1.0
1.0518 -3.5006 2.0368
1.3969 0.2105 3.9387
-2.3870 -1.3891 3.1435
I Os
1 1
direct
0.0000 0.0000 0.0000 I
0.2500 0.2500 0.2500 Os
```

---

VASP calculation (PBE-GGA) on a relaxed CdAg2AsP crystal.

Summary:
- total DFT energy (no corrections) (eV per atom) = -3.192

Cell and atoms, written as POSCAR:
```
CdAg2AsP
1.0
3.0655 4.9747 -2.6028
-3.7921 -1.0321 5.0472
6.2946 -1.5728 4.4077
Ag As Cd P
4 2 2 2
direct
0.1122 0.8878 0.1708 Ag
0.8851 0.1149 0.3132 Ag
0.8878 0.1122 0.6708 Ag
0.1149 0.8851 0.8132 Ag
0.3659 0.6341 0.4985 As
0.6341 0.3659 0.9985 As
0.6166 0.3834 0.3759 Cd
0.3834 0.6166 0.8759 Cd
0.8352 0.1648 0.0073 P
0.1648 0.8352 0.5073 P
```

---

VASP calculation (PBE-GGA) on a relaxed Hf2Cu3W4C3 crystal.

Summary:
- size of the total moment (μB per atom) = 0.00
- total DFT energy (no corrections) (eV per atom) = -9.374

Cell and atoms, written as POSCAR:
```
Hf2Cu3W4C3
1.0
0.3722 4.4278 -2.9551
-2.0454 0.1001 -4.9278
-10.9499 2.6613 7.5814
C Cu Hf W
6 6 4 8
direct
0.5000 0.0000 0.0000 C
0.8266 0.3368 0.0000 C
0.1734 0.6632 0.0000 C
0.3368 0.8266 0.5000 C
0.0000 0.5000 0.5000 C
0.6632 0.1734 0.5000 C
0.1129 0.4141 0.2484 Cu
0.0595 0.9405 0.2500 Cu
0.5859 0.8871 0.2516 Cu
0.4141 0.1129 0.7484 Cu
0.9405 0.0595 0.7500 Cu
0.8871 0.5859 0.7516 Cu
0.5398 0.3775 0.1142 Hf
0.6225 0.4602 0.3858 Hf
0.3775 0.5398 0.6142 Hf
0.4602 0.6225 0.8858 Hf
0.2038 0.0196 0.0830 W
0.8540 0.6946 0.0831 W
0.3054 0.1460 0.4169 W
0.9804 0.7962 0.4170 W
0.0196 0.2038 0.5830 W
0.6946 0.8540 0.5831 W
0.1460 0.3054 0.9169 W
0.7962 0.9804 0.9170 W
```

---

VASP calculation (PBE-GGA) on a relaxed NaTmGa crystal.

Summary:
- excess energy over the best structure of this formula in the dataset (meV/atom) = 333
- size of the total moment (μB per atom) = 0.31

Cell and atoms, written as POSCAR:
```
NaTmGa
1.0
0.0000 3.4903 3.4903
3.4903 0.0000 3.4903
3.4903 3.4903 0.0000
Ga Na Tm
1 1 1
direct
0.2500 0.2500 0.2500 Ga
0.7500 0.7500 0.7500 Na
0.0000 0.0000 0.0000 Tm
```

---

VASP calculation (PBE-GGA) on a relaxed PmNpSb crystal.

Summary:
- size of the total moment (μB per atom) = 2.04
- total DFT energy (no corrections) (eV per atom) = -6.756

Cell and atoms, written as POSCAR:
```
PmNpSb
1.0
4.2097 0.2950 2.7351
0.8323 4.0168 2.9090
-0.2182 -0.4318 5.0055
Np Pm Sb
1 1 1
direct
0.2500 0.2500 0.2500 Np
0.0000 0.0000 0.0000 Pm
0.7500 0.7500 0.7500 Sb
```

---

VASP calculation (PBE-GGA) on a relaxed LaTbAsO crystal.

Summary:
- excess energy over the best structure of this formula in the dataset (meV/atom) = 67
- size of the total moment (μB per atom) = 0.14

Cell and atoms, written as POSCAR:
```
LaTbAsO
1.0
-1.8270 3.7409 -0.2612
-1.0340 -1.0701 -8.0936
-5.1308 -2.4375 0.9777
As La O Tb
2 2 2 2
direct
0.0000 0.3567 0.4360 As
0.0000 0.6433 0.9360 As
0.5000 0.1167 0.4776 La
0.5000 0.8833 0.9776 La
0.5000 0.8204 0.4007 O
0.5000 0.1796 0.9007 O
0.0000 0.7008 0.4398 Tb
0.0000 0.2992 0.9398 Tb
```

---

VASP calculation (PBE-GGA) on a relaxed RbScW crystal.

Summary:
- excess energy over the best structure of this formula in the dataset (meV/atom) = 0
- size of the total moment (μB per atom) = 0.80

Cell and atoms, written as POSCAR:
```
RbScW
1.0
0.0000 3.5812 3.5812
3.5812 0.0000 3.5812
3.5812 3.5812 0.0000
Rb Sc W
1 1 1
direct
0.2500 0.2500 0.2500 Rb
0.7500 0.7500 0.7500 Sc
0.0000 0.0000 0.0000 W
```

---

VASP calculation (PBE-GGA) on a relaxed Sm2Dy2CI2Cl3 crystal.

Summary:
- excess energy over the best structure of this formula in the dataset (meV/atom) = 20
- size of the total moment (μB per atom) = 0.00

Cell and atoms, written as POSCAR:
```
Sm2Dy2CI2Cl3
1.0
-8.0133 -4.4245 -0.3613
-7.1122 -4.6618 3.4065
-2.6390 7.5941 1.1094
C Cl Dy I Sm
1 3 2 2 2
direct
0.5000 0.5000 0.0000 C
0.8285 0.8285 0.1493 Cl
0.5000 0.5000 0.5000 Cl
0.1715 0.1715 0.8507 Cl
0.6359 0.6359 0.0640 Dy
0.3641 0.3641 0.9360 Dy
0.1686 0.1686 0.3533 I
0.8314 0.8314 0.6467 I
0.9944 0.9944 0.2089 Sm
0.0056 0.0056 0.7911 Sm
```

---

VASP calculation (PBE-GGA) on a relaxed LuFePb2 crystal.

Summary:
- size of the total moment (μB per atom) = 0.47
- total DFT energy (no corrections) (eV per atom) = -4.715

Cell and atoms, written as POSCAR:
```
LuFePb2
1.0
0.0000 3.5889 3.5889
3.5889 0.0000 3.5889
3.5889 3.5889 0.0000
Fe Lu Pb
1 1 2
direct
0.2500 0.2500 0.2500 Fe
0.5000 0.5000 0.5000 Lu
0.0000 0.0000 0.0000 Pb
0.7500 0.7500 0.7500 Pb
```

---

VASP calculation (PBE-GGA) on a relaxed FeH crystal.

Summary:
- size of the total moment (μB per atom) = 1.20
- total DFT energy (no corrections) (eV per atom) = -5.602

Cell and atoms, written as POSCAR:
```
FeH
1.0
-1.8911 1.3359 -1.1383
-0.3956 -1.0859 2.3067
0.7910 2.0626 1.1066
Fe H
1 1
direct
0.6667 0.3333 0.7500 Fe
0.3333 0.6667 0.2500 H
```

---

VASP calculation (PBE-GGA) on a relaxed TbTlHgS3 crystal.

Summary:
- excess energy over the best structure of this formula in the dataset (meV/atom) = 1
- size of the total moment (μB per atom) = 0.00

Cell and atoms, written as POSCAR:
```
TbTlHgS3
1.0
-6.4255 4.2588 1.2121
-7.7068 0.8969 -0.8328
-1.5993 -5.0710 9.3392
Hg S Tb Tl
2 6 2 2
direct
0.4033 0.4033 0.2500 Hg
0.5967 0.5967 0.7500 Hg
0.3767 0.3767 0.0298 S
0.0468 0.0468 0.2500 S
0.3767 0.3767 0.4702 S
0.6233 0.6233 0.5298 S
0.9532 0.9532 0.7500 S
0.6233 0.6233 0.9702 S
0.0000 0.0000 0.0000 Tb
0.0000 0.0000 0.5000 Tb
0.6942 0.6942 0.2500 Tl
0.3058 0.3058 0.7500 Tl
```

---

VASP calculation (PBE-GGA) on a relaxed CdTcSn2 crystal.

Summary:
- size of the total moment (μB per atom) = 0.26
- total DFT energy (no corrections) (eV per atom) = -4.209

Cell and atoms, written as POSCAR:
```
CdTcSn2
1.0
0.0000 3.4897 3.4897
3.4897 0.0000 3.4897
3.4897 3.4897 0.0000
Cd Sn Tc
1 2 1
direct
0.0000 0.0000 0.0000 Cd
0.5000 0.5000 0.5000 Sn
0.7500 0.7500 0.7500 Sn
0.2500 0.2500 0.2500 Tc
```

---

VASP calculation (PBE-GGA) on a relaxed SrLuTl crystal.

Summary:
- excess energy over the best structure of this formula in the dataset (meV/atom) = 0
- size of the total moment (μB per atom) = 0.00

Cell and atoms, written as POSCAR:
```
SrLuTl
1.0
0.0000 3.8029 3.8029
3.8029 0.0000 3.8029
3.8029 3.8029 0.0000
Lu Sr Tl
1 1 1
direct
0.2500 0.2500 0.2500 Lu
0.7500 0.7500 0.7500 Sr
0.0000 0.0000 0.0000 Tl
```

---

VASP calculation (PBE-GGA) on a relaxed ZrGaCuTc crystal.

Summary:
- excess energy over the best structure of this formula in the dataset (meV/atom) = 229
- size of the total moment (μB per atom) = 0.00

Cell and atoms, written as POSCAR:
```
ZrGaCuTc
1.0
-4.4630 -0.7190 -0.1178
-2.6723 1.8517 3.1432
-2.8041 3.3679 -1.1151
Cu Ga Tc Zr
1 1 1 1
direct
0.7500 0.7500 0.7500 Cu
0.0000 0.0000 0.0000 Ga
0.5000 0.5000 0.5000 Tc
0.2500 0.2500 0.2500 Zr
```

---

VASP calculation (PBE-GGA) on a relaxed La2DyCo2B2N3 crystal.

Summary:
- size of the total moment (μB per atom) = 0.00
- total DFT energy (no corrections) (eV per atom) = -7.767

Cell and atoms, written as POSCAR:
```
La2DyCo2B2N3
1.0
-1.8299 1.8299 9.8468
1.8299 -1.8299 9.8468
1.8299 1.8299 -9.8468
B Co Dy La N
2 2 1 2 3
direct
0.1968 0.1968 0.0000 B
0.8032 0.8032 0.0000 B
0.7500 0.2500 0.5000 Co
0.2500 0.7500 0.5000 Co
0.0000 0.0000 0.0000 Dy
0.3717 0.3717 0.0000 La
0.6283 0.6283 0.0000 La
0.1209 0.1209 0.0000 N
0.5000 0.5000 0.0000 N
0.8791 0.8791 0.0000 N
```

---

VASP calculation (PBE-GGA) on a relaxed Zr2TeO4 crystal.

Summary:
- size of the total moment (μB per atom) = 0.01
- total DFT energy (no corrections) (eV per atom) = -7.811

Cell and atoms, written as POSCAR:
```
Zr2TeO4
1.0
4.7979 -4.7997 0.0000
-4.7979 0.0000 -4.7997
4.7979 4.7997 0.0000
O Te Zr
8 2 4
direct
0.2086 0.8058 0.4028 O
0.5971 0.1942 0.4028 O
0.5972 0.8058 0.4029 O
0.1528 0.3058 0.4586 O
0.5972 0.1942 0.7914 O
0.1528 0.6942 0.8471 O
0.5414 0.6942 0.8472 O
0.1529 0.3058 0.8472 O
0.0000 0.0000 0.0000 Te
0.7500 0.5000 0.2500 Te
0.3750 0.7500 0.1250 Zr
0.3750 0.7500 0.6250 Zr
0.3750 0.2500 0.6250 Zr
0.8750 0.2500 0.6250 Zr
```

---

VASP calculation (PBE-GGA) on a relaxed Ho4InPbC2 crystal.

Summary:
- size of the total moment (μB per atom) = 0.00
- total DFT energy (no corrections) (eV per atom) = -5.857

Cell and atoms, written as POSCAR:
```
Ho4InPbC2
1.0
3.6000 0.0000 0.0000
-1.8000 3.1177 0.0000
0.0000 0.0000 16.1496
C Ho In Pb
2 4 1 1
direct
0.6667 0.3333 0.2514 C
0.6667 0.3333 0.7486 C
0.3333 0.6667 0.1667 Ho
0.0000 0.0000 0.3321 Ho
0.0000 0.0000 0.6679 Ho
0.3333 0.6667 0.8333 Ho
0.0000 0.0000 0.0000 In
0.3333 0.6667 0.5000 Pb
```

---

VASP calculation (PBE-GGA) on a relaxed TlNi2 crystal.

Summary:
- size of the total moment (μB per atom) = 0.00
- total DFT energy (no corrections) (eV per atom) = -3.524

Cell and atoms, written as POSCAR:
```
TlNi2
1.0
5.1998 0.0000 0.0000
0.0000 5.1998 0.0000
0.0000 0.0000 4.4198
Ni Tl
4 2
direct
0.3352 0.3352 0.0000 Ni
0.6648 0.6648 0.0000 Ni
0.8352 0.1648 0.5000 Ni
0.1648 0.8352 0.5000 Ni
0.0000 0.0000 0.0000 Tl
0.5000 0.5000 0.5000 Tl
```

---

VASP calculation (PBE-GGA) on a relaxed Y2GaFe crystal.

Summary:
- size of the total moment (μB per atom) = 0.25
- total DFT energy (no corrections) (eV per atom) = -6.000

Cell and atoms, written as POSCAR:
```
Y2GaFe
1.0
0.0000 3.4168 3.4168
3.4168 0.0000 3.4168
3.4168 3.4168 0.0000
Fe Ga Y
1 1 2
direct
0.2500 0.2500 0.2500 Fe
0.5000 0.5000 0.5000 Ga
0.0000 0.0000 0.0000 Y
0.7500 0.7500 0.7500 Y
```

---

VASP calculation (PBE-GGA) on a relaxed TmGa2CuPd4 crystal.

Summary:
- size of the total moment (μB per atom) = 0.00
- total DFT energy (no corrections) (eV per atom) = -5.003

Cell and atoms, written as POSCAR:
```
TmGa2CuPd4
1.0
4.4716 0.0000 0.0000
0.0000 4.4716 0.0000
0.0000 0.0000 6.3747
Cu Ga Pd Tm
1 2 4 1
direct
0.0000 0.0000 0.0000 Cu
0.5000 0.5000 0.0000 Ga
0.0000 0.0000 0.5000 Ga
0.5000 0.0000 0.2316 Pd
0.0000 0.5000 0.2316 Pd
0.5000 0.0000 0.7684 Pd
0.0000 0.5000 0.7684 Pd
0.5000 0.5000 0.5000 Tm
```

---

VASP calculation (PBE-GGA) on a relaxed BaNb crystal.

Summary:
- excess energy over the best structure of this formula in the dataset (meV/atom) = 0
- size of the total moment (μB per atom) = 0.02

Cell and atoms, written as POSCAR:
```
BaNb
1.0
3.2954 0.0000 0.0000
-1.6477 2.8539 0.0000
0.0000 0.0000 5.9446
Ba Nb
1 1
direct
0.6667 0.3333 0.7500 Ba
0.3333 0.6667 0.2500 Nb
```